Arrangement A

Computed, not measured: a geometry-optimized MgSiNiHg structure at the GGA-PBE level of DFT.

abc: 6.3801 6.3801 6.3801
angles: 90.00 90.00 90.00
Space group F-43m (No. 216)
Inequivalent atoms, fractional coordinates:
Mg: 0.0000 0.0000 0.0000 (multiplicity 4)
Si: 0.2500 0.2500 0.7500 (multiplicity 4)
Ni: 0.0000 0.0000 0.5000 (multiplicity 4)
Hg: 0.2500 0.2500 0.2500 (multiplicity 4)

Crystal system = cubic
M_tot = 0.01 μB per formula unit

=====

Arrangement B

Computed, not measured: a geometry-optimized MgSiNiHg structure at the GGA-PBE level of DFT.

abc: 6.4521 6.4521 6.4521
angles: 90.00 90.00 90.00
Space group F-43m (No. 216)
Inequivalent atoms, fractional coordinates:
Mg: 0.0000 0.0000 0.0000 (multiplicity 4)
Si: 0.2500 0.2500 0.7500 (multiplicity 4)
Ni: 0.2500 0.2500 0.2500 (multiplicity 4)
Hg: 0.0000 0.0000 0.5000 (multiplicity 4)

Crystal system = cubic
M_tot = 0.01 μB per formula unit

=====

Relative energies in meV per atom: arrangement A 0; arrangement B 131

=====

Arrangement A

Computed, not measured: a geometry-optimized MgNiHgTe3 structure at the GGA-PBE level of DFT.

abc: 3.9210 13.2982 12.0842
angles: 90.00 90.00 90.00
Space group Cmcm (No. 63)
Inequivalent atoms, fractional coordinates:
Mg: 0.0000 0.1806 0.2500 (multiplicity 4)
Ni: 0.0000 0.0000 0.0000 (multiplicity 4)
Hg: 0.0000 0.4971 0.7500 (multiplicity 4)
Te: 0.0000 0.1645 0.7500 (multiplicity 4)
Te: 0.0000 0.3819 0.5411 (multiplicity 8)

Crystal system = orthorhombic
M_tot = 0.01 μB per formula unit

=====

Arrangement B

Computed, not measured: a geometry-optimized MgNiHgTe3 structure at the GGA-PBE level of DFT.

abc: 4.1045 13.6683 11.4422
angles: 90.00 90.00 90.00
Space group Cmcm (No. 63)
Inequivalent atoms, fractional coordinates:
Mg: 0.0000 0.2359 0.2500 (multiplicity 4)
Ni: 0.0000 0.0509 0.7500 (multiplicity 4)
Hg: 0.0000 0.5000 0.0000 (multiplicity 4)
Te: 0.0000 0.1803 0.5953 (multiplicity 8)
Te: 0.0000 0.4433 0.7500 (multiplicity 4)

Crystal system = orthorhombic
M_tot = 0.01 μB per formula unit

=====

Relative energies in meV per atom: arrangement A 51; arrangement B 0

=====

Arrangement A

Computed, not measured: a geometry-optimized MgZrNiHg structure at the GGA-PBE level of DFT.

abc: 6.6560 6.6560 6.6560
angles: 90.00 90.00 90.00
Space group F-43m (No. 216)
Inequivalent atoms, fractional coordinates:
Mg: 0.0000 0.0000 0.0000 (multiplicity 4)
Zr: 0.0000 0.0000 0.5000 (multiplicity 4)
Ni: 0.2500 0.2500 0.2500 (multiplicity 4)
Hg: 0.2500 0.2500 0.7500 (multiplicity 4)

Crystal system = cubic
M_tot = 0.00 μB per formula unit

=====

Arrangement B

Computed, not measured: a geometry-optimized MgZrNiHg structure at the GGA-PBE level of DFT.

abc: 6.5090 6.5090 6.5090
angles: 90.00 90.00 90.00
Space group F-43m (No. 216)
Inequivalent atoms, fractional coordinates:
Mg: 0.0000 0.0000 0.0000 (multiplicity 4)
Zr: 0.2500 0.2500 0.7500 (multiplicity 4)
Ni: 0.0000 0.0000 0.5000 (multiplicity 4)
Hg: 0.2500 0.2500 0.2500 (multiplicity 4)

Crystal system = cubic
M_tot = 0.00 μB per formula unit

=====

Relative energies in meV per atom: arrangement A 0; arrangement B 68